## i
The following is a DFT calculation (PBE) of Er2ZrSc after structural relaxation.

Summary:
SG: P4/mmm, No. 123
Crystal system: tetragonal
Spin magnetization, μB/atom: 0.00

a b c (Å): 4.7441 4.7441 4.7206
angles (deg): 90.00 90.00 90.00
Atoms (fractional coordinates):
Er 0.0000 0.5000 0.0000
Er 0.5000 0.0000 0.0000
Zr 0.0000 0.0000 0.5000
Sc 0.5000 0.5000 0.5000

## ii
The following is a DFT calculation (PBE) of Er2ZrSc after structural relaxation.

Summary:
SG: R-3m, No. 166
Crystal system: trigonal
Spin magnetization, μB/atom: 0.00

a b c (Å): 11.1177 11.1177 11.1177
angles (deg): 17.39 17.39 17.39
Atoms (fractional coordinates):
Er 0.2481 0.2481 0.2481
Er 0.7519 0.7519 0.7519
Zr 0.5000 0.5000 0.5000
Sc 0.0000 0.0000 0.0000

Stability, descending: i, ii

## i
The following is a DFT calculation (PBE) of ReWCl2 after structural relaxation.

Summary:
SG: C2/m, No. 12
Crystal system: monoclinic
Spin magnetization, μB/atom: 0.00

a b c (Å): 5.2004 5.2004 3.3628
angles (deg): 108.79 108.79 115.28
Atoms (fractional coordinates):
Re 0.0000 0.0000 0.0000
W 0.5000 0.5000 0.0000
Cl 0.0000 0.5000 0.0000
Cl 0.5000 0.0000 0.0000

## ii
The following is a DFT calculation (PBE) of ReWCl2 after structural relaxation.

Summary:
SG: Cmmm, No. 65
Crystal system: orthorhombic
Spin magnetization, μB/atom: 0.00

a b c (Å): 4.9561 4.9561 2.7942
angles (deg): 90.00 90.00 111.12
Atoms (fractional coordinates):
Re 0.0000 0.0000 0.0000
W 0.5000 0.5000 0.0000
Cl 0.0000 0.5000 0.5000
Cl 0.5000 0.0000 0.5000

Stability, descending: i, ii

## i
The following is a DFT calculation (PBE) of YBe2Mo after structural relaxation.

Summary:
SG: F-43m, No. 216
Crystal system: cubic
Spin magnetization, μB/atom: 0.00

a b c (Å): 4.4768 4.4768 4.4768
angles (deg): 60.00 60.00 60.00
Atoms (fractional coordinates):
Y 0.0000 0.0000 0.0000
Be 0.2500 0.2500 0.2500
Be 0.5000 0.5000 0.5000
Mo 0.7500 0.7500 0.7500

## ii
The following is a DFT calculation (PBE) of YBe2Mo after structural relaxation.

Summary:
SG: C2/m, No. 12
Crystal system: monoclinic
Spin magnetization, μB/atom: 0.00

a b c (Å): 4.2448 4.2448 5.0809
angles (deg): 109.16 109.16 50.93
Atoms (fractional coordinates):
Y 0.0000 0.0000 0.0000
Be 0.2158 0.2158 0.5949
Be 0.7842 0.7842 0.4051
Mo 0.5000 0.5000 0.5000

Stability, descending: ii, i

## i
The following is a DFT calculation (PBE) of TcAs2Se after structural relaxation.

Summary:
SG: Fm-3m, No. 225
Crystal system: cubic
Spin magnetization, μB/atom: 0.00

a b c (Å): 4.5770 4.5770 4.5770
angles (deg): 60.00 60.00 60.00
Atoms (fractional coordinates):
Tc 0.0000 0.0000 0.0000
As 0.2500 0.2500 0.2500
As 0.7500 0.7500 0.7500
Se 0.5000 0.5000 0.5000

## ii
The following is a DFT calculation (PBE) of TcAs2Se after structural relaxation.

Summary:
SG: I4/mmm, No. 139
Crystal system: tetragonal
Spin magnetization, μB/atom: 0.00

a b c (Å): 4.8823 4.8823 4.8823
angles (deg): 129.35 129.35 74.44
Atoms (fractional coordinates):
Tc 0.0000 0.0000 0.0000
As 0.2500 0.7500 0.5000
As 0.7500 0.2500 0.5000
Se 0.5000 0.5000 0.0000

Stability, descending: ii, i